--- one ---
The following is a PBE calculation of a geometry-optimized SrScNb2 structure, from Alexandria.

Cell: 6.4681 6.4681 6.4681 Å, 101.94 101.94 125.88°
Element x y z (fractional)
Sr  0.0000  0.0000  0.0000
Sr  0.7500  0.2500  0.5000
Sc  0.2500  0.7500  0.5000
Sc  0.5000  0.5000  0.0000
Nb  0.1421  0.6250  0.0171
Nb  0.3750  0.3921  0.5171
Nb  0.6079  0.1250  0.9829
Nb  0.8750  0.8579  0.4829

Computed properties:
* SG: I-42d

***

--- two ---
The following is a PBE calculation of a geometry-optimized SrScNb2 structure, from Alexandria.

Cell: 5.0917 5.0917 5.0917 Å, 60.00 60.00 60.00°
Element x y z (fractional)
Sr  0.0000  0.0000  0.0000
Sc  0.5000  0.5000  0.5000
Nb  0.2500  0.2500  0.2500
Nb  0.7500  0.7500  0.7500

Computed properties:
* SG: Fm-3m

***

Stability ranking, top entry: two; the second entry is 189 meV per atom less favorable.

***

--- one ---
The following is a PBE calculation of a geometry-optimized ScTaNb4 structure, from Alexandria.

Cell: 5.4953 5.4953 5.4953 Å, 60.00 60.00 60.00°
Element x y z (fractional)
Sc  0.0000  0.0000  0.0000
Ta  0.2500  0.2500  0.2500
Nb  0.1255  0.6248  0.6248
Nb  0.6248  0.1255  0.6248
Nb  0.6248  0.6248  0.1255
Nb  0.6248  0.6248  0.6248

Computed properties:
* SG: F-43m

***

--- two ---
The following is a PBE calculation of a geometry-optimized ScTaNb4 structure, from Alexandria.

Cell: 3.3336 5.5152 6.8206 Å, 108.14 90.07 106.83°
Element x y z (fractional)
Sc  0.0000  0.0000  0.0000
Ta  0.0000  0.0000  0.5000
Nb  0.3242  0.6441  0.1724
Nb  0.3287  0.6541  0.6517
Nb  0.6713  0.3459  0.3483
Nb  0.6758  0.3559  0.8276

Computed properties:
* SG: P-1

***

Stability ranking, top entry: two; the second entry is 110 meV per atom less favorable.

***

--- one ---
The following is a PBE calculation of a geometry-optimized ScTaNb structure, from Alexandria.

Cell: 2.9191 5.7508 7.2815 Å, 77.67 83.20 80.42°
Element x y z (fractional)
Sc  0.0000  0.0000  0.0000
Sc  0.1673  0.1806  0.3517
Ta  0.5916  0.6614  0.3470
Ta  0.7816  0.8314  0.6680
Nb  0.3411  0.3535  0.6800
Nb  0.4920  0.5193  0.9962

Computed properties:
* SG: P1

***

--- two ---
The following is a PBE calculation of a geometry-optimized ScTaNb structure, from Alexandria.

Cell: 5.6046 5.6046 5.6046 Å, 144.02 144.02 51.80°
Element x y z (fractional)
Sc  0.0000  0.0000  0.0000
Ta  0.3109  0.3109  0.0000
Nb  0.6866  0.6866  0.0000

Computed properties:
* SG: I4mm

***

--- three ---
The following is a PBE calculation of a geometry-optimized ScTaNb structure, from Alexandria.

Cell: 5.6132 5.6132 5.8551 Å, 121.29 121.29 50.74°
Element x y z (fractional)
Sc  0.0000  0.0000  0.0000
Sc  0.0000  0.0000  0.5000
Ta  0.3344  0.3344  0.5366
Ta  0.6656  0.6656  0.4634
Nb  0.3325  0.3325  0.0320
Nb  0.6675  0.6675  0.9680

Computed properties:
* SG: C2/m

***

Stability ranking, top entry: two; the second entry is 8 meV per atom less favorable.

***

--- one ---
The following is a PBE calculation of a geometry-optimized ScTaNb structure, from Alexandria.

Cell: 2.9594 2.9594 7.5256 Å, 104.76 104.76 70.35°
Element x y z (fractional)
Sc  0.0000  0.0000  0.0000
Ta  0.7444  0.7444  0.3449
Nb  0.3939  0.3939  0.6501

Computed properties:
* SG: Cm

***

--- two ---
The following is a PBE calculation of a geometry-optimized ScTaNb structure, from Alexandria.

Cell: 2.8824 4.7936 8.4664 Å, 90.00 93.56 90.00°
Element x y z (fractional)
Sc  0.0000  0.0000  0.0000
Sc  0.1655  0.0000  0.3471
Ta  0.3335  0.5000  0.8303
Ta  0.5892  0.5000  0.1715
Nb  0.6055  0.0000  0.6732
Nb  0.8504  0.5000  0.5173

Computed properties:
* SG: Pm

***

--- three ---
The following is a PBE calculation of a geometry-optimized ScTaNb structure, from Alexandria.

Cell: 5.5934 5.5934 4.9063 Å, 90.00 90.00 127.97°
Element x y z (fractional)
Sc  0.0000  0.0000  0.0000
Sc  0.5000  0.5000  0.5000
Ta  0.1883  0.8117  0.5000
Ta  0.8117  0.1883  0.5000
Nb  0.3121  0.6879  0.0000
Nb  0.6879  0.3121  0.0000

Computed properties:
* SG: Cmmm

***

--- four ---
The following is a PBE calculation of a geometry-optimized ScTaNb structure, from Alexandria.

Cell: 4.7968 4.7846 5.6271 Å, 90.00 115.27 90.00°
Element x y z (fractional)
Sc  0.0000  0.0000  0.0000
Sc  0.1780  0.5000  0.3497
Ta  0.3364  0.0000  0.6726
Ta  0.6842  0.0000  0.3670
Nb  0.4945  0.5000  0.9846
Nb  0.8426  0.5000  0.6792

Computed properties:
* SG: Pm

***

Stability ranking, top entry: three; the second entry is 14 meV per atom less favorable.

***

--- one ---
The following is a PBE calculation of a geometry-optimized ScTaNb structure, from Alexandria.

Cell: 5.5993 5.5993 6.9409 Å, 107.98 107.98 35.99°
Element x y z (fractional)
Sc  0.0000  0.0000  0.0000
Sc  0.0000  0.0000  0.5000
Ta  0.3108  0.3108  0.6576
Ta  0.6892  0.6892  0.3424
Nb  0.3131  0.3131  0.1546
Nb  0.6869  0.6869  0.8454

Computed properties:
* SG: C2/m

***

--- two ---
The following is a PBE calculation of a geometry-optimized ScTaNb structure, from Alexandria.

Cell: 4.8047 4.8047 2.9247 Å, 90.00 90.00 120.00°
Element x y z (fractional)
Sc  0.0000  0.0000  0.0000
Ta  0.3333  0.6667  0.5908
Nb  0.6667  0.3333  0.3876

Computed properties:
* SG: P3m1

***

Stability ranking, top entry: one; the second entry is 7 meV per atom less favorable.